DFT (PBE) results for crystalline KRb3Au at its relaxed geometry.

Structure (POSCAR):
```
KRb3Au
1.0
6.955 0.000 0.000
0.000 6.955 0.000
0.000 0.000 6.955
Au Rb K
1 3 1
Cartesian
0.000 0.000 0.000
0.000 0.000 3.478
0.000 3.478 0.000
3.478 0.000 0.000
3.478 3.478 3.478
```

## Properties
* energy of formation: -2.5 kcal/mol of atoms
* distance to the lowest polymorph of the same formula: 7.0 meV per atom
* Fermi-level density of states: 1.241 states/eV/atom
* spin magnetization: 0.000 μB/f.u.



DFT (PBE) results for crystalline K5Rb4Au2 at its relaxed geometry.

Structure (POSCAR):
```
K5Rb4Au2
1.0
-3.140 -3.347 0.852
5.010 -6.775 -8.153
7.135 -4.339 9.245
Rb K Au
4 5 2
Cartesian
2.666 -4.916 3.297
3.999 -8.174 -4.588
6.339 -9.545 -1.353
5.006 -6.287 6.532
7.216 -6.217 2.171
1.861 -1.685 0.240
2.505 -3.387 -4.076
10.283 -9.429 0.851
4.928 -4.897 -1.079
7.588 -8.245 -4.429
4.556 -2.869 5.521
```

## Properties
* energy of formation: -2.3 kcal/mol of atoms
* Fermi-level density of states: 0.528 states/eV/atom
* spin magnetization: 0.000 μB/f.u.



DFT (PBE) results for crystalline K4Rb3Au2 at its relaxed geometry.

Structure (POSCAR):
```
K4Rb3Au2
1.0
8.895 0.435 2.318
-2.228 11.195 6.448
-0.350 1.329 10.899
Au K Rb
4 8 6
Cartesian
6.074 10.930 14.004
0.243 2.029 5.661
2.333 7.161 10.800
3.983 5.797 8.865
-0.901 10.920 14.463
1.587 7.768 7.468
4.730 5.190 12.197
7.362 5.227 8.795
3.068 9.628 12.996
3.249 3.331 6.669
-1.045 7.732 10.870
7.218 2.038 5.202
1.080 3.869 10.089
6.047 1.477 9.745
5.025 8.170 16.390
1.292 4.789 3.275
0.270 11.481 9.920
5.237 9.089 9.576
```

## Properties
* energy of formation: -3.1 kcal/mol of atoms
* Fermi-level density of states: 0.573 states/eV/atom
* spin magnetization: 0.000 μB/f.u.



DFT (PBE) results for crystalline K3RbAu2 at its relaxed geometry.

Structure (POSCAR):
```
K3RbAu2
1.0
4.822 0.000 0.972
1.978 9.632 2.634
0.054 0.443 12.182
Au K Rb
4 6 2
Cartesian
4.528 4.065 2.427
1.303 0.971 5.980
5.550 9.104 9.807
2.325 6.010 13.360
4.384 7.375 3.142
2.669 9.152 11.650
3.465 7.402 7.705
4.184 0.923 4.137
2.469 2.701 12.645
3.389 2.674 8.082
1.621 4.272 4.403
5.232 5.803 11.384
```

## Properties
* energy of formation: -5.1 kcal/mol of atoms
* distance to the lowest polymorph of the same formula: 0.0 meV per atom
* Fermi-level density of states: 0.459 states/eV/atom
* spin magnetization: 0.000 μB/f.u.



DFT (PBE) results for crystalline K4Rb4Au7 at its relaxed geometry.

Structure (POSCAR):
```
K4Rb4Au7
1.0
-1.342 8.358 4.162
2.238 -0.252 11.918
10.000 6.862 0.134
Au Rb K
14 8 8
Cartesian
0.314 5.834 9.764
7.503 4.573 3.925
4.735 9.886 3.053
4.760 6.853 9.151
3.923 5.334 1.243
-0.338 2.105 1.048
3.026 7.796 6.700
0.581 2.271 6.316
4.915 3.460 5.327
4.735 2.036 8.127
7.869 7.172 9.514
-1.004 6.253 3.114
5.980 11.508 10.887
6.136 8.114 7.063
1.419 9.052 3.658
1.485 0.894 9.373
3.004 5.244 11.816
1.844 3.855 3.543
7.239 6.168 0.638
-0.590 7.211 6.707
9.051 11.112 12.672
7.891 9.723 4.398
2.816 4.648 7.608
6.592 4.162 9.802
4.975 6.626 4.332
8.750 6.140 6.525
8.079 10.319 8.606
5.921 8.341 11.882
4.304 10.805 6.413
2.145 8.827 9.689
```

## Properties
* energy of formation: -5.5 kcal/mol of atoms
* Fermi-level density of states: 0.367 states/eV/atom
* spin magnetization: 0.000 μB/f.u.



DFT (PBE) results for crystalline K10Rb6Au at its relaxed geometry.

Structure (POSCAR):
```
K10Rb6Au
1.0
8.591 0.000 0.000
0.000 11.319 -6.535
0.000 0.000 13.070
Rb K Au
6 10 1
Cartesian
2.109 4.542 -2.623
6.482 4.542 2.623
6.482 6.776 -3.912
2.109 6.776 3.912
6.482 0.000 7.824
2.109 0.000 5.245
6.312 2.376 -1.372
2.279 8.943 -5.163
4.295 3.773 6.535
0.000 7.546 0.000
4.295 7.546 0.000
2.279 2.376 1.372
6.312 0.000 2.743
0.000 3.773 6.535
6.312 8.943 5.163
2.279 0.000 10.326
4.295 0.000 0.000
```

## Properties
* energy of formation: -0.1 kcal/mol of atoms
* Fermi-level density of states: 0.754 states/eV/atom
* spin magnetization: 0.000 μB/f.u.



DFT (PBE) results for crystalline K7RbAu2 at its relaxed geometry.

Structure (POSCAR):
```
K7RbAu2
1.0
6.566 0.000 0.000
0.000 10.233 -0.002
0.000 -4.619 9.131
K Au Rb
7 2 1
Cartesian
0.000 5.720 2.773
3.283 2.807 4.565
3.283 6.675 6.036
3.283 2.375 8.680
0.000 -0.105 6.356
3.283 3.239 0.449
3.283 -1.060 3.093
3.283 -0.120 6.365
3.283 5.734 2.764
0.000 0.000 0.000
```

## Properties
* energy of formation: -2.4 kcal/mol of atoms
* Fermi-level density of states: 0.639 states/eV/atom
* spin magnetization: 0.000 μB/f.u.



DFT (PBE) results for crystalline KRb12Au6 at its relaxed geometry.

Structure (POSCAR):
```
KRb12Au6
1.0
-4.044 5.700 -8.649
11.113 0.225 -0.283
-3.509 -10.538 -0.538
Rb Au K
12 6 1
Cartesian
-1.177 -0.501 -4.602
-3.819 -2.194 -7.816
1.106 -4.227 -1.929
6.147 2.134 -6.177
-2.586 -6.746 -3.293
3.674 0.061 -3.052
-0.113 -4.674 -6.418
3.766 -7.835 -2.216
2.454 -0.385 -7.541
4.737 -4.112 -4.868
7.379 -2.419 -1.654
-0.206 3.222 -7.254
-2.920 -3.580 -4.686
6.480 -1.032 -4.784
4.599 -4.489 -1.417
2.684 2.418 -5.501
0.877 -7.030 -3.970
-1.038 -0.124 -8.053
0.000 0.000 0.000
```

## Properties
* energy of formation: -4.4 kcal/mol of atoms
* Fermi-level density of states: 0.398 states/eV/atom
* spin magnetization: 0.000 μB/f.u.



DFT (PBE) results for crystalline K2Rb12Au7 at its relaxed geometry.

Structure (POSCAR):
```
K2Rb12Au7
1.0
-0.547 -4.471 -3.606
12.235 -5.539 5.012
-12.479 -3.441 6.159
Au Rb K
7 12 2
Cartesian
-0.273 -2.235 -1.803
-4.201 -9.911 6.028
-1.582 -6.265 1.109
-8.166 -6.267 2.111
0.791 -7.186 6.457
3.410 -3.539 1.538
7.375 -7.184 5.455
-7.209 -8.578 4.791
1.217 -5.206 -0.652
0.912 -10.693 6.198
-5.114 -5.437 0.577
6.418 -4.873 2.775
4.323 -8.014 6.989
-2.008 -8.245 8.217
-9.422 -4.774 5.038
-1.634 -8.488 3.832
-1.703 -2.758 1.368
0.843 -4.963 3.734
8.631 -8.677 2.528
3.590 -8.165 2.712
-4.381 -5.286 4.853
```

## Properties
* energy of formation: -3.7 kcal/mol of atoms
* Fermi-level density of states: 0.669 states/eV/atom
* spin magnetization: 0.000 μB/f.u.



DFT (PBE) results for crystalline K2Rb9Au3 at its relaxed geometry.

Structure (POSCAR):
```
K2Rb9Au3
1.0
11.208 -0.365 -4.318
-6.910 9.831 -0.076
0.385 0.162 15.222
Rb K Au
18 4 6
Cartesian
-1.578 4.030 8.440
2.336 0.456 13.902
-2.201 6.843 -0.041
4.990 2.126 5.601
6.261 5.598 2.388
1.778 3.569 2.096
-0.307 7.502 5.227
2.905 6.060 8.731
6.884 2.786 10.869
-4.554 8.586 3.205
9.237 1.043 7.623
-1.509 8.511 9.695
0.534 1.668 5.983
4.219 4.616 -1.725
4.149 7.961 4.845
2.347 9.173 -3.074
0.464 5.013 12.552
6.192 1.117 1.133
2.696 1.755 9.560
6.852 5.720 7.672
-2.169 3.908 3.156
1.987 7.874 1.268
-3.821 9.244 6.926
2.342 4.814 5.414
5.836 6.690 10.868
-1.152 2.939 -0.040
8.504 0.384 3.902
5.604 -0.182 -2.159
```

## Properties
* energy of formation: -2.3 kcal/mol of atoms
* Fermi-level density of states: 0.657 states/eV/atom
* spin magnetization: 0.000 μB/f.u.



DFT (PBE) results for crystalline K2Rb8Au at its relaxed geometry.

Structure (POSCAR):
```
K2Rb8Au
1.0
-4.609 -2.660 -5.143
-3.697 -5.836 6.331
-3.722 12.908 1.984
Au Rb K
1 8 2
Cartesian
-2.304 -1.330 -2.571
-7.163 6.002 3.315
-4.756 8.417 -0.090
-2.980 -4.424 4.958
-7.271 -4.004 3.263
-3.550 3.083 1.587
-4.865 -1.589 -0.142
-9.047 8.837 -1.786
-8.477 1.330 1.585
-7.022 4.542 -1.380
-5.006 -0.129 4.553
```

## Properties
* energy of formation: -0.7 kcal/mol of atoms
* Fermi-level density of states: 0.709 states/eV/atom
* spin magnetization: 0.000 μB/f.u.



DFT (PBE) results for crystalline K12Rb7Au at its relaxed geometry.

Structure (POSCAR):
```
K12Rb7Au
1.0
-6.646 1.820 -4.466
8.210 -7.140 -10.095
-6.083 -8.283 10.709
K Rb Au
12 7 1
Cartesian
-6.193 -10.002 5.037
-7.658 -8.044 0.571
-0.961 -6.699 -3.818
-5.234 -2.136 1.783
3.140 -5.558 -4.423
-2.706 -6.028 4.088
0.716 -11.467 -5.635
-3.558 -6.903 -0.034
1.675 -3.601 -8.888
0.689 -9.711 -0.055
-5.208 -3.892 -3.797
-1.812 -7.574 -7.940
-3.323 0.910 -2.233
2.857 -13.374 -2.233
5.713 -5.356 -8.247
-2.859 -10.709 -2.548
-10.232 -8.247 4.395
-7.376 -0.228 -1.619
-1.660 -2.894 -1.304
0.000 0.000 0.000
```

## Properties
* energy of formation: 0.4 kcal/mol of atoms
* Fermi-level density of states: 0.739 states/eV/atom
* spin magnetization: 0.000 μB/f.u.



Look up the Fermi-level density of states of the eighth one.
0.398 states/eV/atom



Among the records above, which one has the lowest energy of formation?
K4Rb4Au7



Please write out number 8 again, unchanged.
DFT (PBE) results for crystalline KRb12Au6 at its relaxed geometry.

Structure (POSCAR):
```
KRb12Au6
1.0
-4.044 5.700 -8.649
11.113 0.225 -0.283
-3.509 -10.538 -0.538
Rb Au K
12 6 1
Cartesian
-1.177 -0.501 -4.602
-3.819 -2.194 -7.816
1.106 -4.227 -1.929
6.147 2.134 -6.177
-2.586 -6.746 -3.293
3.674 0.061 -3.052
-0.113 -4.674 -6.418
3.766 -7.835 -2.216
2.454 -0.385 -7.541
4.737 -4.112 -4.868
7.379 -2.419 -1.654
-0.206 3.222 -7.254
-2.920 -3.580 -4.686
6.480 -1.032 -4.784
4.599 -4.489 -1.417
2.684 2.418 -5.501
0.877 -7.030 -3.970
-1.038 -0.124 -8.053
0.000 0.000 0.000
```

## Properties
* energy of formation: -4.4 kcal/mol of atoms
* Fermi-level density of states: 0.398 states/eV/atom
* spin magnetization: 0.000 μB/f.u.